No. 1
Below is Ac2TiAlGa6 after structural relaxation, with properties calculated at the PBE level.

Calculated values
The energy of formation from the pure elements is -4.157 eV per formula unit. Its space group is R-3m, No. 166. Its volume is 457.56 Å³/cell. The total energy is -4.217 eV/atom. The spin magnetization comes out at 0.00 μB per atom.

abc: 12.7497 12.7497 12.7497
angles: 29.95 29.95 29.95
Closest atoms and distances in Å follow each position.
Positions (direct):
Ac 0.1114 0.1114 0.1114  12 Ga 3.41-3.58
Ac 0.2869 0.2869 0.2869  12 Ga 3.34-3.49
Ac 0.7131 0.7131 0.7131  12 Ga 3.34-3.49
Ac 0.8886 0.8886 0.8886  12 Ga 3.41-3.58
Ti 0.0000 0.0000 0.0000  6 Ga 2.57
Ti 0.5000 0.5000 0.5000  6 Ga 2.61, 2 Al 2.67
Al 0.4270 0.4270 0.4270  6 Ga 2.65-2.71, 1 Ti 2.67
Al 0.5730 0.5730 0.5730  6 Ga 2.65-2.71, 1 Ti 2.67
Ga 0.0634 0.6676 0.6676  2 Ga 2.61, 1 Ti 2.61, 1 Al 2.71
Ga 0.2303 0.2303 0.6452  1 Ti 2.57, 1 Al 2.65, 2 Ga 2.73
Ga 0.2303 0.6452 0.2303  1 Ti 2.57, 1 Al 2.65, 2 Ga 2.73
Ga 0.3324 0.3324 0.9366  2 Ga 2.61, 1 Ti 2.61, 1 Al 2.71
Ga 0.3324 0.9366 0.3324  2 Ga 2.61, 1 Ti 2.61, 1 Al 2.71
Ga 0.3548 0.7697 0.7697  1 Ti 2.57, 1 Al 2.65, 2 Ga 2.73
Ga 0.6452 0.2303 0.2303  1 Ti 2.57, 1 Al 2.65, 2 Ga 2.73
Ga 0.6676 0.0634 0.6676  2 Ga 2.61, 1 Ti 2.61, 1 Al 2.71
Ga 0.6676 0.6676 0.0634  2 Ga 2.61, 1 Ti 2.61, 1 Al 2.71
Ga 0.7697 0.3548 0.7697  1 Ti 2.57, 1 Al 2.65, 2 Ga 2.73
Ga 0.7697 0.7697 0.3548  1 Ti 2.57, 1 Al 2.65, 2 Ga 2.73
Ga 0.9366 0.3324 0.3324  2 Ga 2.61, 1 Ti 2.61, 1 Al 2.71

No. 2
Below is AcTmAl2Ga2 after structural relaxation, with properties calculated at the PBE level.

Calculated values
The energy of formation from the pure elements is -3.116 eV per formula unit. Its space group is P-3m1, No. 164. Its volume is 142.24 Å³/cell. The total energy is -4.206 eV/atom. The spin magnetization comes out at 0.00 μB per atom.

abc: 4.3415 4.3415 8.7136
angles: 90.00 90.00 120.00
Closest atoms and distances in Å follow each position.
Positions (direct):
Ac 0.0000 0.0000 0.0000  6 Al 3.46, 6 Ga 3.52
Tm 0.0000 0.0000 0.5000  6 Ga 3.14, 6 Al 3.19
Al 0.3333 0.6667 0.7261  3 Ga 2.51
Al 0.6667 0.3333 0.2739  3 Ga 2.51
Ga 0.3333 0.6667 0.2834  3 Al 2.51
Ga 0.6667 0.3333 0.7166  3 Al 2.51

No. 3
Below is AcTmAlGa2 after structural relaxation, with properties calculated at the PBE level.

Calculated values
The energy of formation from the pure elements is -2.541 eV per formula unit. Its space group is I-4m2, No. 119. Its volume is 124.49 Å³/cell. The total energy is -4.184 eV/atom. The spin magnetization comes out at 0.00 μB per atom.

abc: 6.8394 6.8394 6.8394
angles: 141.23 141.23 55.99
Closest atoms and distances in Å follow each position.
Positions (direct):
Ac 0.0000 0.0000 0.0000  8 Ga 3.46, 4 Al 3.78, 4 Tm 3.78
Tm 0.7500 0.2500 0.5000  4 Ga 2.86
Al 0.2500 0.7500 0.5000  4 Ga 2.86
Ga 0.3934 0.3934 0.0000  1 Ga 2.58, 2 Tm 2.86, 2 Al 2.86
Ga 0.6066 0.6066 0.0000  1 Ga 2.58, 2 Al 2.86, 2 Tm 2.86

No. 4
Below is AcAlZn2Ga4 after structural relaxation, with properties calculated at the PBE level.

Calculated values
The energy of formation from the pure elements is -1.587 eV per formula unit. Its space group is R-3m, No. 166. Its volume is 164.66 Å³/cell. The total energy is -3.012 eV/atom. The spin magnetization comes out at 0.00 μB per atom.

abc: 9.2789 9.2789 9.2789
angles: 28.87 28.87 28.87
Closest atoms and distances in Å follow each position.
Positions (direct):
Ac 0.0000 0.0000 0.0000  8 Ga 3.27-3.52, 6 Zn 3.58
Al 0.5000 0.5000 0.5000  8 Ga 2.55-2.82
Zn 0.2438 0.2438 0.2438  7 Ga 2.72-2.98
Zn 0.7562 0.7562 0.7562  7 Ga 2.72-2.98
Ga 0.1322 0.1322 0.1322  3 Al 2.82, 4 Zn 2.90-2.98, 3 Ga 3.13
Ga 0.4044 0.4044 0.4044  1 Al 2.55, 3 Zn 2.72
Ga 0.5956 0.5956 0.5956  1 Al 2.55, 3 Zn 2.72
Ga 0.8678 0.8678 0.8678  3 Al 2.82, 4 Zn 2.90-2.98, 3 Ga 3.13

No. 5
Below is Ac2Al3ZnGa4 after structural relaxation, with properties calculated at the PBE level.

Calculated values
The energy of formation from the pure elements is -4.418 eV per formula unit. Its space group is P-4m2, No. 115. Its volume is 217.95 Å³/cell. The total energy is -3.724 eV/atom. The spin magnetization comes out at 0.00 μB per atom.

abc: 4.5366 4.5366 10.5901
angles: 90.00 90.00 90.00
Closest atoms and distances in Å follow each position.
Positions (direct):
Ac 0.0000 0.5000 0.2487  8 Ga 3.46-3.48, 6 Al 3.46-3.50, 2 Zn 3.50
Ac 0.5000 0.0000 0.7513  8 Ga 3.46-3.48, 6 Al 3.46-3.50, 2 Zn 3.50
Al 0.0000 0.5000 0.8729  5 Ga 2.57-2.64
Al 0.5000 0.0000 0.1271  5 Ga 2.57-2.64
Al 0.5000 0.5000 0.5000  4 Ga 2.65
Zn 0.0000 0.0000 0.5000  4 Ga 2.65
Ga 0.0000 0.0000 0.0000  4 Al 2.64
Ga 0.0000 0.5000 0.6300  3 Al 2.57-2.65, 2 Zn 2.65
Ga 0.5000 0.0000 0.3700  3 Al 2.57-2.65, 2 Zn 2.65
Ga 0.5000 0.5000 0.0000  4 Al 2.64

No. 6
Below is AcAlZn8Ga2 after structural relaxation, with properties calculated at the PBE level.

Calculated values
The energy of formation from the pure elements is -0.814 eV per formula unit. Its space group is C2/m, No. 12. Its volume is 226.47 Å³/cell. The total energy is -2.076 eV/atom. The spin magnetization comes out at 0.00 μB per atom.

abc: 5.0389 5.0389 10.9352
angles: 104.54 104.54 58.39
Closest atoms and distances in Å follow each position.
Positions (direct):
Ac 0.0000 0.0000 0.0000  6 Ga 3.19-3.28, 2 Zn 3.36
Al 0.0000 0.0000 0.5000  8 Zn 2.65-2.77
Zn 0.1478 0.6460 0.6755  4 Zn 2.45-2.64, 1 Al 2.65, 1 Ga 2.70
Zn 0.1988 0.1988 0.7801  4 Zn 2.64-2.85, 2 Ga 2.73
Zn 0.3540 0.8522 0.3245  4 Zn 2.45-2.64, 1 Al 2.65, 1 Ga 2.70
Zn 0.3682 0.3682 0.4137  5 Zn 2.53-2.81, 2 Al 2.77
Zn 0.6318 0.6318 0.5863  5 Zn 2.53-2.81, 2 Al 2.77
Zn 0.6460 0.1478 0.6755  4 Zn 2.45-2.64, 1 Al 2.65, 1 Ga 2.70
Zn 0.8012 0.8012 0.2199  4 Zn 2.64-2.85, 2 Ga 2.73
Zn 0.8522 0.3540 0.3245  4 Zn 2.45-2.64, 1 Al 2.65, 1 Ga 2.70
Ga 0.3717 0.3717 0.1426  5 Zn 2.70-2.97
Ga 0.6283 0.6283 0.8574  5 Zn 2.70-2.97